The following is a GGA+U calculation of a geometry-optimized Li2Co2OF6 structure, from the Alexandria database.

Unit cell a=5.281 b=6.692 c=8.615 alpha=72.30 beta=72.93 gamma=83.60
Space group P-1 (No. 2)
Unique sites:
Li  0.109  0.239  0.347 [2 per cell]
Li  0.345  0.561  0.738 [2 per cell]
Co  0.192  0.998  0.821 [2 per cell]
Co  0.261  0.778  0.300 [2 per cell]
O  0.074  0.121  0.636 [2 per cell]
F  0.077  0.739  0.837 [2 per cell]
F  0.207  0.905  0.055 [2 per cell]
F  0.257  0.681  0.534 [2 per cell]
F  0.285  0.499  0.278 [2 per cell]
F  0.335  0.259  0.799 [2 per cell]
F  0.416  0.060  0.273 [2 per cell]

Calculated values
Crystal system: triclinic
VASP energy: -4.831 eV/atom